# 1
The following is a DFT calculation (PBE-GGA) of a relaxed Pm4AlZn2 crystal.

Results
DFT formation energy: -137 kJ/mol of formula units
Final energy: -80.2 eV per cell
Fermi-level density of states: 22.87 states/eV per cell

a b c (Å): 5.1356 5.1356 24.7739
angles (deg): 90.00 90.00 120.00
Space group R-3m (No. 166, hexagonal axes)
Inequivalent atoms, fractional coordinates:
1 Pm 0.0000 0.0000 0.1183 (multiplicity 6)
2 Pm 0.0000 0.0000 0.3705 (multiplicity 6)
3 Al 0.0000 0.0000 0.5000 (multiplicity 3)
4 Zn 0.0000 0.0000 0.2447 (multiplicity 6)

# 2
The following is a DFT calculation (PBE-GGA) of a relaxed GdErRhAu crystal.

Results
DFT formation energy: -316 kJ/mol of formula units
Final energy: -130.2 eV per cell
Fermi-level density of states: 13.88 states/eV per cell

a b c (Å): 7.044 7.044 7.044
angles (deg): 90.00 90.00 90.00
Space group F-43m (No. 216)
Inequivalent atoms, fractional coordinates:
1 Gd 0.000 0.000 0.000 (multiplicity 4)
2 Er 0.000 0.000 0.500 (multiplicity 4)
3 Rh 0.250 0.250 0.750 (multiplicity 4)
4 Au 0.250 0.250 0.250 (multiplicity 4)

# 3
The following is a DFT calculation (PBE-GGA) of a relaxed CeGa2Ir crystal.

Results
DFT formation energy: -263 kJ/mol of formula units
Final energy: -94.3 eV per cell
Fermi-level density of states: 15.32 states/eV per cell

a b c (Å): 6.662 4.394 10.484
angles (deg): 90.00 90.00 90.00
Space group Pnma (No. 62)
Inequivalent atoms, fractional coordinates:
1 Ce 0.236 0.250 0.149 (multiplicity 4)
2 Ga 0.085 0.250 0.839 (multiplicity 4)
3 Ga 0.248 0.250 0.442 (multiplicity 4)
4 Ir 0.033 0.750 0.393 (multiplicity 4)

# 4
The following is a DFT calculation (PBE-GGA) of a relaxed Li2LaTc crystal.

Results
DFT formation energy: 130 kJ/mol of formula units
Final energy: -35.5 eV per cell
Distance to the lowest polymorph of the same formula: 104 meV per atom
Fermi-level density of states: 5.02 states/eV per cell

a b c (Å): 9.390 3.462 5.340
angles (deg): 90.00 113.40 90.00
Space group Cm (No. 8)
Inequivalent atoms, fractional coordinates:
1 Li 0.000 0.000 0.000 (multiplicity 2)
2 Li 0.249 0.000 0.823 (multiplicity 2)
3 La 0.295 0.500 0.369 (multiplicity 2)
4 Tc 0.016 0.500 0.519 (multiplicity 2)

# 5
The following is a DFT calculation (PBE-GGA) of a relaxed Ce2PmAu6 crystal.

Results
DFT formation energy: -612 kJ/mol of formula units
Final energy: -42.6 eV per cell
Distance to the lowest polymorph of the same formula: 0 meV per atom
Fermi-level density of states: 17.06 states/eV per cell

a b c (Å): 8.2908 8.2908 3.4815
angles (deg): 90.00 90.00 120.00
Space group P6/mmm (No. 191)
Inequivalent atoms, fractional coordinates:
1 Ce 0.3333 0.6667 0.0000 (multiplicity 2)
2 Pm 0.0000 0.0000 0.0000 (multiplicity 1)
3 Au 0.0000 0.3334 0.5000 (multiplicity 6)

# 6
The following is a DFT calculation (PBE-GGA) of a relaxed AcLa4Sb5 crystal.

Results
Final energy: -114.1 eV per cell
Formation energy from raw total energies: -1216 kJ/mol of formula units
Fermi-level density of states: 2.83 states/eV per cell

a b c (Å): 4.666 6.597 23.298
angles (deg): 90.00 90.00 90.00
Space group Immm (No. 71)
Inequivalent atoms, fractional coordinates:
1 Ac 0.000 0.000 0.000 (multiplicity 2)
2 La 0.000 0.000 0.202 (multiplicity 4)
3 La 0.000 0.000 0.399 (multiplicity 4)
4 Sb 0.000 0.500 0.000 (multiplicity 2)
5 Sb 0.000 0.500 0.199 (multiplicity 4)
6 Sb 0.000 0.500 0.396 (multiplicity 4)

# 7
The following is a DFT calculation (PBE-GGA) of a relaxed TcHgMo2 crystal.

Results
DFT formation energy: 184 kJ/mol of formula units
Final energy: -60.8 eV per cell
Fermi-level density of states: 7.52 states/eV per cell

a b c (Å): 5.613 8.219 2.843
angles (deg): 90.00 90.00 90.00
Space group Cmmm (No. 65)
Inequivalent atoms, fractional coordinates:
1 Tc 0.000 0.000 0.000 (multiplicity 2)
2 Hg 0.000 0.500 0.000 (multiplicity 2)
3 Mo 0.250 0.250 0.500 (multiplicity 4)

# 8
The following is a DFT calculation (PBE-GGA) of a relaxed LiTaFe2 crystal.

Results
DFT formation energy: 99 kJ/mol of formula units
Final energy: -59.3 eV per cell
Fermi-level density of states: 8.21 states/eV per cell

a b c (Å): 3.199 4.268 8.401
angles (deg): 90.00 90.00 90.00
Space group Cmmm (No. 65)
Inequivalent atoms, fractional coordinates:
1 Li 0.000 0.000 0.000 (multiplicity 2)
2 Ta 0.000 0.000 0.500 (multiplicity 2)
3 Fe 0.000 0.500 0.250 (multiplicity 4)